Ac3Ge8Ru3 (PBE, relaxed); E_tot = -5.903 eV/atom; space-group type = No. 71
1.0
-0.1081 -0.1909 -4.3446
7.9500 -2.1908 -2.2795
-1.1318 -8.2903 -1.7855
Ac Ge Ru
3 8 3
direct
0.5000 0.5000 0.5000
0.8172 0.1828 0.1828
0.1828 0.8172 0.8172
0.6159 0.0898 0.6785
0.3841 0.9102 0.3215
0.6159 0.6785 0.0898
0.3841 0.3215 0.9102
0.8414 0.8033 0.5138
0.1586 0.1967 0.4862
0.8414 0.5138 0.8033
0.1586 0.4862 0.1967
0.5000 0.0000 0.0000
0.0000 0.7914 0.2086
0.0000 0.2086 0.7914

***

AcGe2Ru2 (PBE, relaxed); E_tot = -7.032 eV/atom; space-group type = No. 139
1.0
4.3760 0.0000 0.0000
0.0000 4.3760 0.0000
-2.1880 -2.1880 5.2190
Ac Ge Ru
1 2 2
direct
0.0000 0.0000 0.0000
0.6401 0.6401 0.2802
0.3599 0.3599 0.7198
0.7500 0.2500 0.5000
0.2500 0.7500 0.5000

***

AcGe3Ru2 (PBE, relaxed); E_tot = -6.520 eV/atom; space-group type = No. 63
1.0
5.7967 0.0000 0.0000
0.0000 6.3998 -0.1554
0.0000 -1.4379 6.2381
Ac Ge Ru
2 6 4
direct
0.2500 0.3380 0.3380
0.7500 0.6620 0.6620
0.7500 0.4736 0.1063
0.7500 0.1063 0.4736
0.2500 0.5264 0.8937
0.7500 0.0645 0.0645
0.2500 0.9355 0.9355
0.2500 0.8937 0.5264
0.5000 0.8015 0.1985
0.0000 0.8015 0.1985
0.0000 0.1985 0.8015
0.5000 0.1985 0.8015

***

Ac12Ge7Ru (PBE, relaxed); E_tot = -4.926 eV/atom; space-group type = No. 148
1.0
9.7593 -0.3436 -0.5157
-3.0437 9.2789 -0.5157
-3.0437 -4.0497 8.3645
Ac Ge Ru
12 7 1
direct
0.8857 0.3478 0.7379
0.6522 0.2621 0.1143
0.4004 0.1029 0.3192
0.8971 0.6808 0.5996
0.2621 0.1143 0.6522
0.6808 0.5996 0.8971
0.3192 0.4004 0.1029
0.7379 0.8857 0.3478
0.1029 0.3192 0.4004
0.5996 0.8971 0.6808
0.3478 0.7379 0.8857
0.1143 0.6522 0.2621
0.0585 0.7526 0.9739
0.2474 0.0261 0.9415
0.0261 0.9415 0.2474
0.5000 0.5000 0.5000
0.9739 0.0585 0.7526
0.7526 0.9739 0.0585
0.9415 0.2474 0.0261
0.0000 0.0000 0.0000

***

Ac7GeRu2 (PBE, relaxed); E_tot = -5.245 eV/atom; space-group type = No. 65
1.0
5.3882 0.0000 0.0000
0.0000 8.8284 0.4935
0.0000 -3.5425 8.1016
Ac Ge Ru
7 1 2
direct
0.0000 0.7088 0.2912
0.0000 0.2912 0.7088
0.5000 0.0518 0.3087
0.5000 0.9482 0.6913
0.5000 0.3087 0.0518
0.5000 0.6913 0.9482
0.5000 0.5000 0.5000
0.0000 0.0000 0.0000
0.5000 0.6987 0.3013
0.5000 0.3013 0.6987

***

Ac3Ge4Ru (PBE, relaxed); E_tot = -5.523 eV/atom; space-group type = No. 71
1.0
4.8648 0.0000 0.0000
0.0000 5.9443 0.0000
-2.4324 -2.9722 7.8622
Ac Ge Ru
3 4 1
direct
0.1937 0.1937 0.3873
0.8063 0.8063 0.6127
0.0000 0.5000 0.0000
0.3829 0.6004 0.7659
0.6171 0.3996 0.2341
0.6171 0.8345 0.2341
0.3829 0.1655 0.7659
0.5000 0.0000 0.0000

***

AcGeRu (PBE, relaxed); E_tot = -6.500 eV/atom; space-group type = No. 63
1.0
3.7128 0.0000 0.0000
-1.8564 5.9030 0.0000
0.0000 0.0000 6.1349
Ge Ru Ac
2 2 2
direct
0.5911 0.1821 0.7500
0.4089 0.8179 0.2500
0.0000 0.0000 0.5000
0.0000 0.0000 0.0000
0.6772 0.3544 0.2500
0.3228 0.6456 0.7500

***

AcGe12Ru4 (PBE, relaxed); E_tot = -5.732 eV/atom; space-group type = No. 204
1.0
7.5767 0.0000 0.0000
-2.5256 7.1434 0.0000
-2.5256 -3.5717 6.1864
Ac Ge Ru
1 12 4
direct
0.0000 0.0000 0.0000
0.8388 0.3487 0.1876
0.3487 0.5099 0.1612
0.8124 0.1612 0.6513
0.3487 0.1876 0.8388
0.1876 0.8388 0.3487
0.6513 0.4901 0.8388
0.5099 0.1612 0.3487
0.4901 0.8388 0.6513
0.6513 0.8124 0.1612
0.8388 0.6513 0.4901
0.1612 0.3487 0.5099
0.1612 0.6513 0.8124
0.0000 0.5000 0.0000
0.5000 0.0000 0.0000
0.5000 0.5000 0.5000
0.0000 0.0000 0.5000

***

Ac2Ge3Ru (PBE, relaxed); E_tot = -5.858 eV/atom; space-group type = No. 69
1.0
5.9759 0.8070 -1.8621
-1.1826 5.9131 -1.8621
-0.5919 -0.8299 8.7506
Ac Ge Ru
4 6 2
direct
0.2500 0.7500 0.5000
0.7426 0.7426 0.0000
0.7500 0.2500 0.5000
0.2574 0.2574 0.0000
0.6592 0.1693 0.8285
0.8307 0.3408 0.1715
0.3408 0.8307 0.1715
0.1693 0.6592 0.8285
0.8292 0.8292 0.6585
0.1708 0.1708 0.3415
0.3336 0.3336 0.6671
0.6664 0.6664 0.3329

***

Ac3Ge3Ru (PBE, relaxed); E_tot = -5.694 eV/atom; space-group type = No. 12
1.0
-4.3084 -1.2588 -0.7473
-0.8003 -6.2274 1.2506
-5.2985 2.2061 12.9785
Ac Ge Ru
6 6 2
direct
0.5261 0.3305 0.6172
0.4739 0.6695 0.3828
0.2523 0.2651 0.2302
0.7477 0.7349 0.7698
0.4007 0.2806 0.9181
0.5993 0.7194 0.0819
0.8416 0.7689 0.5479
0.1584 0.2311 0.4521
0.1102 0.8539 0.9257
0.8898 0.1461 0.0743
0.9388 0.8752 0.2473
0.0612 0.1248 0.7527
0.7609 0.0603 0.4179
0.2391 0.9397 0.5821

***

Ac8GeRu2 (PBE, relaxed); E_tot = -5.238 eV/atom; space-group type = No. 12
1.0
-1.8799 -0.2002 7.1299
4.2794 -7.3214 -1.1149
8.5497 -0.1306 0.2129
Ac Ge Ru
8 1 2
direct
0.2693 0.3781 0.8940
0.7307 0.1060 0.6219
0.2553 0.8643 0.8643
0.7447 0.1357 0.1357
0.2693 0.8940 0.3781
0.7307 0.6219 0.1060
0.7542 0.6167 0.6167
0.2458 0.3833 0.3833
0.0000 0.0000 0.0000
0.5217 0.7363 0.7363
0.4783 0.2637 0.2637

***

Ac3Ge2Ru3 (PBE, relaxed); E_tot = -6.548 eV/atom; space-group type = No. 63
1.0
-4.0324 1.2063 -1.3110
-0.0989 -5.6509 2.5168
-2.6287 6.1794 13.7712
Ac Ge Ru
6 4 6
direct
0.9096 0.8193 0.3917
0.0904 0.1807 0.8917
0.9096 0.8193 0.1083
0.0904 0.1807 0.6083
0.6286 0.2573 0.2500
0.3714 0.7427 0.7500
0.8006 0.6013 0.9000
0.1994 0.3987 0.4000
0.8006 0.6013 0.6000
0.1994 0.3987 0.1000
0.6628 0.3257 0.4719
0.3372 0.6743 0.9719
0.6628 0.3257 0.0281
0.3372 0.6743 0.5281
0.3074 0.6147 0.2500
0.6926 0.3853 0.7500

***

Ac12Ge5Ru2 (PBE, relaxed); E_tot = -5.171 eV/atom; space-group type = No. 12
1.0
-1.7511 6.2474 -4.8511
-6.3047 -7.5296 -0.6566
-3.1315 5.3903 8.0721
Ac Ge Ru
12 5 2
direct
0.9959 0.9918 0.1849
0.1012 0.6669 0.9142
0.5657 0.6669 0.9142
0.0962 0.7020 0.4264
0.6057 0.7020 0.4264
0.4980 0.9960 0.7648
0.5020 0.0040 0.2352
0.9038 0.2980 0.5736
0.3943 0.2980 0.5736
0.8988 0.3331 0.0858
0.4343 0.3331 0.0858
0.0041 0.0082 0.8151
0.3028 0.6056 0.6343
0.3112 0.6224 0.1694
0.0000 0.0000 0.5000
0.6888 0.3776 0.8306
0.6972 0.3944 0.3657
0.7102 0.0000 0.0000
0.2898 0.0000 0.0000

***

Ac2Ge5Ru (PBE, relaxed); E_tot = -5.502 eV/atom; space-group type = No. 107
1.0
6.5358 -0.1680 -0.2394
-3.3640 5.6061 0.2394
-3.3640 -1.6820 5.3532
Ac Ge Ru
2 5 1
direct
0.5000 0.2321 0.7321
0.5000 0.7321 0.2321
0.4336 0.7038 0.7038
0.0000 0.7038 0.2702
0.0000 0.2702 0.7038
0.5664 0.2702 0.2702
0.0000 0.2832 0.2832
0.0000 0.0266 0.0266

***

Ac2Ge7Ru12 (PBE, relaxed); E_tot = -7.486 eV/atom; space-group type = No. 174
1.0
4.0942 0.0000 0.0000
0.0000 8.6107 -4.9714
0.0000 0.0000 9.9428
Ac Ge Ru
2 7 12
direct
0.5000 0.0000 0.0000
0.0000 0.6667 0.3333
0.0000 0.3333 0.6667
0.0000 0.0558 0.7811
0.0000 0.7253 0.9442
0.0000 0.2189 0.2747
0.5000 0.6247 0.5653
0.5000 0.9406 0.3753
0.5000 0.4347 0.0594
0.5000 0.9085 0.6222
0.5000 0.7137 0.0915
0.5000 0.3778 0.2863
0.5000 0.2327 0.7712
0.5000 0.5386 0.7673
0.5000 0.2288 0.4614
0.0000 0.0588 0.5371
0.0000 0.4783 0.9412
0.0000 0.4629 0.5217
0.0000 0.7684 0.7165
0.0000 0.9481 0.2316
0.0000 0.2835 0.0519

***

Ac3GeRu (PBE, relaxed); E_tot = -5.580 eV/atom; space-group type = No. 12
1.0
-4.0520 -1.1461 1.9224
-1.4577 -6.6038 -1.4358
5.1871 -4.5356 8.2315
Ac Ge Ru
6 2 2
direct
0.2598 0.8702 0.5921
0.5331 0.3232 0.3876
0.5561 0.2774 0.7913
0.2827 0.8243 0.9957
0.8020 0.7861 0.3027
0.0139 0.3614 0.0807
0.9565 0.4762 0.5900
0.8594 0.6713 0.7934
0.6467 0.0957 0.0763
0.1691 0.0519 0.3070

***

Ac4Ge3Ru (PBE, relaxed); E_tot = -5.504 eV/atom; space-group type = No. 25
1.0
-4.3659 1.7084 -0.1082
-0.7445 -2.1314 -3.6102
-3.7291 -9.1396 6.1649
Ac Ge Ru
4 3 1
direct
0.5000 0.5000 0.3490
0.0000 0.5000 0.8655
0.0000 0.0000 0.1341
0.5000 0.0000 0.6423
0.0000 0.5000 0.5711
0.0000 0.0000 0.4273
0.5000 0.0000 0.9404
0.5000 0.5000 0.0703

***

AcGe4Ru (PBE, relaxed); E_tot = -5.640 eV/atom; space-group type = No. 2
1.0
-0.8389 -4.5407 4.5539
6.5961 -2.0444 -0.8246
1.3895 6.2119 1.8293
Ac Ge Ru
2 8 2
direct
0.8996 0.7502 0.0009
0.1004 0.2498 0.9991
0.5474 0.0945 0.8811
0.6663 0.4053 0.1187
0.4526 0.9055 0.1189
0.3337 0.5947 0.8813
0.8717 0.8569 0.5078
0.3644 0.6430 0.4929
0.1283 0.1431 0.4922
0.6356 0.3570 0.5071
0.5000 0.0000 0.5000
0.0000 0.5000 0.5000

***

Ac3Ge9Ru2 (PBE, relaxed); E_tot = -5.558 eV/atom; space-group type = No. 71
1.0
4.3270 0.0000 0.0000
2.1635 8.4019 -0.5120
2.1635 1.4057 8.2993
Ac Ge Ru
3 9 2
direct
0.0000 0.0000 0.0000
0.6833 0.3167 0.3167
0.3167 0.6833 0.6833
0.0000 0.5000 0.5000
0.6602 0.9795 0.7001
0.3398 0.0205 0.2999
0.6602 0.7001 0.9795
0.3398 0.2999 0.0205
0.8811 0.8365 0.4012
0.1189 0.1635 0.5988
0.8811 0.4012 0.8365
0.1189 0.5988 0.1635
0.5000 0.2771 0.7229
0.5000 0.7229 0.2771

***

Ac3GeRu (PBE, relaxed); E_tot = -5.508 eV/atom; space-group type = No. 63
1.0
5.5817 0.0000 0.0000
0.0000 5.5799 0.0000
0.0000 -2.7900 11.1752
Ac Ge Ru
6 2 2
direct
0.7500 0.9989 0.8461
0.7500 0.6549 0.1581
0.7500 0.3749 0.5983
0.2500 0.4968 0.8419
0.2500 0.1528 0.1539
0.2500 0.7766 0.4017
0.2500 0.9153 0.6795
0.7500 0.2358 0.3205
0.2500 0.6382 0.1242
0.7500 0.5140 0.8758

***

Calculated formation energy, record by record: -0.40; -0.65; -0.43; -0.38; -0.05; -0.51; -0.50; -0.05; -0.63; -0.63; -0.14; -0.37; -0.38; -0.43; -0.26; -0.34; -0.56; -0.33; -0.38; -0.26 eV per atom
Size of the total moment, record by record: 0.00; 0.00; 0.00; 0.00; 0.00; 0.00; 0.00; 0.00; 0.00; 0.45; 0.00; 0.00; 0.00; 0.00; 0.00; 0.00; 0.34; 0.00; 0.00; 0.00 μB/f.u.
Calculated volume, record by record: 296; 100; 230; 707; 395; 227; 134; 335; 301; 381; 448; 390; 710; 190; 351; 320; 232; 258; 305; 348 Å³/cell